Model A:
Mg3Zr4 | meta-GGA SCAN | single point on PBEsol structure

Cell lengths 5.5550, 5.5550, 5.6602 Å; angles 90.00, 90.00, 120.00 degrees
Space group P6/mmm (No. 191)
Unique sites:
Mg: 0.0000 0.5000 0.0000 x3
Zr: 0.0000 0.0000 0.2728 x2
Zr: 0.3333 0.6667 0.5000 x2

Fermi-level density of states in states/eV/atom: 1.28

***

Model B:
Mg3Zr4 | meta-GGA SCAN | single point on PBEsol structure

Cell lengths 3.038, 3.038, 33.856 Å; angles 90.00, 90.00, 90.00 degrees
Space group I4/mmm (No. 139)
Unique sites:
Mg: 0.000 0.000 0.000 x2
Mg: 0.000 0.000 0.286 x4
Zr: 0.000 0.000 0.141 x4
Zr: 0.000 0.000 0.426 x4

Fermi-level density of states in states/eV/atom: 0.69

***

Ordering by calculated energy gives the sequence model B, model A, with the first entry being the most stable.

***

Model A:
MgZr4 | meta-GGA SCAN | single point on PBEsol structure

Cell lengths 4.112, 4.112, 14.009 Å; angles 90.00, 90.00, 90.00 degrees
Space group I4/mmm (No. 139)
Unique sites:
Mg: 0.000 0.000 0.000 x2
Zr: 0.000 0.000 0.409 x4
Zr: 0.000 0.500 0.250 x4

Fermi-level density of states in states/eV/atom: 1.01

***

Model B:
MgZr4 | meta-GGA SCAN | single point on PBEsol structure

Cell lengths 7.140, 7.140, 4.312 Å; angles 90.00, 90.00, 90.00 degrees
Space group I4/m (No. 87)
Unique sites:
Mg: 0.000 0.000 0.000 x2
Zr: 0.111 0.309 0.500 x8

Fermi-level density of states in states/eV/atom: 1.12

***

Ordering by calculated energy gives the sequence model B, model A, with the first entry being the most stable.

***

Model A:
MnNiMo | meta-GGA SCAN | single point on PBEsol structure

Cell lengths 2.6024, 2.6024, 6.3698 Å; angles 90.00, 90.00, 120.00 degrees
Space group P3m1 (No. 156)
Unique sites:
Mn: 0.0000 0.0000 0.0000 x1
Ni: 0.3333 0.6667 0.3073 x1
Mo: 0.6667 0.3333 0.6514 x1

Fermi-level density of states in states/eV/atom: 0.91

***

Model B:
MnNiMo | meta-GGA SCAN | single point on PBEsol structure

Cell lengths 5.596, 5.596, 5.596 Å; angles 90.00, 90.00, 90.00 degrees
Space group F-43m (No. 216)
Unique sites:
Mn: 0.000 0.000 0.000 x4
Ni: 0.250 0.250 0.250 x4
Mo: 0.000 0.000 0.500 x4

Fermi-level density of states in states/eV/atom: 0.70

***

Ordering by calculated energy gives the sequence model A, model B, with the first entry being the most stable.

***

Model A:
MnMoOs2 | meta-GGA SCAN | single point on PBEsol structure

Cell lengths 2.691, 3.754, 5.384 Å; angles 90.00, 90.00, 90.00 degrees
Space group Pmm2 (No. 25)
Unique sites:
Mn: 0.000 0.000 0.000 x1
Mo: 0.500 0.500 0.253 x1
Os: 0.000 0.000 0.516 x1
Os: 0.500 0.500 0.774 x1

Fermi-level density of states in states/eV/atom: 0.93

***

Model B:
MnMoOs2 | meta-GGA SCAN | single point on PBEsol structure

Cell lengths 3.803, 3.803, 7.524 Å; angles 90.00, 90.00, 90.00 degrees
Space group I4/mmm (No. 139)
Unique sites:
Mn: 0.000 0.000 0.000 x2
Mo: 0.000 0.000 0.500 x2
Os: 0.000 0.500 0.250 x4

Fermi-level density of states in states/eV/atom: 0.97

***

Ordering by calculated energy gives the sequence model B, model A, with the first entry being the most stable.

***

Model A:
MnMoOs2 | meta-GGA SCAN | single point on PBEsol structure

Cell lengths 2.739, 4.376, 9.209 Å; angles 90.00, 90.00, 90.00 degrees
Space group Immm (No. 71)
Unique sites:
Mn: 0.000 0.000 0.000 x2
Mo: 0.000 0.000 0.500 x2
Os: 0.000 0.500 0.279 x4

Fermi-level density of states in states/eV/atom: 0.89

***

Model B:
MnMoOs2 | meta-GGA SCAN | single point on PBEsol structure

Cell lengths 5.376, 7.533, 2.696 Å; angles 90.00, 90.00, 90.00 degrees
Space group Cmmm (No. 65)
Unique sites:
Mn: 0.000 0.000 0.000 x2
Mo: 0.000 0.500 0.000 x2
Os: 0.250 0.250 0.500 x4

Fermi-level density of states in states/eV/atom: 1.01

***

Ordering by calculated energy gives the sequence model B, model A, with the first entry being the most stable.

***

Model A:
MnMoRu | meta-GGA SCAN | single point on PBEsol structure

Cell lengths 2.6512, 2.6512, 6.5357 Å; angles 90.00, 90.00, 120.00 degrees
Space group P3m1 (No. 156)
Unique sites:
Mn: 0.0000 0.0000 0.0000 x1
Mo: 0.3333 0.6667 0.6618 x1
Ru: 0.6667 0.3333 0.3046 x1

Fermi-level density of states in states/eV/atom: 1.07

***

Model B:
MnMoRu | meta-GGA SCAN | single point on PBEsol structure

Cell lengths 5.611, 5.611, 5.611 Å; angles 90.00, 90.00, 90.00 degrees
Space group F-43m (No. 216)
Unique sites:
Mn: 0.000 0.000 0.000 x4
Mo: 0.250 0.250 0.250 x4
Ru: 0.250 0.250 0.750 x4

Fermi-level density of states in states/eV/atom: 0.98

***

Ordering by calculated energy gives the sequence model A, model B, with the first entry being the most stable.

***

Model A:
SrMnMo2 | meta-GGA SCAN | single point on PBEsol structure

Cell lengths 4.959, 4.959, 2.808 Å; angles 90.00, 90.00, 90.00 degrees
Space group P4/mmm (No. 123)
Unique sites:
Sr: 0.000 0.000 0.000 x1
Mn: 0.500 0.500 0.000 x1
Mo: 0.000 0.500 0.500 x2

Fermi-level density of states in states/eV/atom: 0.99

***

Model B:
SrMnMo2 | meta-GGA SCAN | single point on PBEsol structure

Cell lengths 2.923, 4.035, 6.791 Å; angles 90.00, 102.19, 90.00 degrees
Space group Pm (No. 6)
Unique sites:
Sr: 0.000 0.000 0.000 x1
Mn: 0.802 0.500 0.333 x1
Mo: 0.265 0.500 0.643 x1
Mo: 0.539 0.000 0.471 x1

Fermi-level density of states in states/eV/atom: 1.03

***

Ordering by calculated energy gives the sequence model B, model A, with the first entry being the most stable.

***

Model A:
SrMnMo2 | meta-GGA SCAN | single point on PBEsol structure

Cell lengths 3.330, 4.592, 9.311 Å; angles 90.00, 90.00, 90.00 degrees
Space group Cmm2 (No. 35)
Unique sites:
Sr: 0.000 0.000 0.000 x2
Mn: 0.000 0.500 0.288 x2
Mo: 0.000 0.000 0.486 x2
Mo: 0.000 0.500 0.703 x2

Fermi-level density of states in states/eV/atom: 0.95

***

Model B:
SrMnMo2 | meta-GGA SCAN | single point on PBEsol structure

Cell lengths 2.9497, 2.9497, 27.8082 Å; angles 90.00, 90.00, 120.00 degrees
Space group R-3m (No. 166, hexagonal axes)
Unique sites:
Sr: 0.0000 0.0000 0.0000 x3
Mn: 0.0000 0.0000 0.5000 x3
Mo: 0.0000 0.0000 0.2314 x6

Fermi-level density of states in states/eV/atom: 0.90

***

Model C:
SrMnMo2 | meta-GGA SCAN | single point on PBEsol structure

Cell lengths 2.993, 5.005, 9.389 Å; angles 90.00, 90.00, 90.00 degrees
Space group Imm2 (No. 44)
Unique sites:
Sr: 0.000 0.000 0.000 x2
Mn: 0.000 0.500 0.768 x2
Mo: 0.000 0.000 0.448 x2
Mo: 0.000 0.500 0.213 x2

Fermi-level density of states in states/eV/atom: 0.80

***

Ordering by calculated energy gives the sequence model A, model B, model C, with the first entry being the most stable.